1.
Material: YTmW2N6
Method: DFT, PBE
State: optimized geometry

```
YTmW2N6
1.0
-6.097 0.369 1.553
-0.426 -0.348 7.387
-1.491 7.112 1.434
Y Tm W N
2 2 4 12
direct
0.250 0.908 0.092 Y
0.750 0.092 0.908 Y
0.250 0.283 0.717 Tm
0.750 0.717 0.283 Tm
0.286 0.797 0.621 W
0.214 0.379 0.203 W
0.714 0.203 0.379 W
0.786 0.621 0.797 W
0.159 0.998 0.780 N
0.341 0.220 0.002 N
0.841 0.002 0.220 N
0.659 0.780 0.998 N
0.342 0.882 0.374 N
0.158 0.626 0.118 N
0.658 0.118 0.626 N
0.842 0.374 0.882 N
0.092 0.625 0.666 N
0.408 0.334 0.375 N
0.908 0.375 0.334 N
0.592 0.666 0.625 N
```

Values from the calculation:
Formation energy without anion corrections ... -1.01 eV/atom
Crystal system ... monoclinic
Symmetry ... C2/c


2.
Material: Tm3Zr3WN8
Method: DFT, PBE
State: optimized geometry

```
Tm3Zr3WN8
1.0
-5.525 3.340 -0.689
0.660 -4.208 4.900
3.409 5.660 0.099
Tm Zr W N
3 3 1 8
direct
0.000 0.000 0.000 Tm
0.000 0.500 0.000 Tm
0.500 0.500 0.000 Tm
0.500 0.000 0.500 Zr
0.500 0.500 0.500 Zr
0.000 0.500 0.500 Zr
0.000 0.000 0.500 W
0.253 0.506 0.259 N
0.747 0.494 0.741 N
0.771 0.543 0.280 N
0.229 0.457 0.720 N
0.771 0.008 0.280 N
0.229 0.992 0.720 N
0.237 0.008 0.280 N
0.763 0.992 0.720 N
```

Values from the calculation:
Formation energy without anion corrections ... -1.47 eV/atom
Crystal system ... trigonal
Symmetry ... R-3m


3.
Material: YTmN
Method: DFT, PBE
State: optimized geometry

```
YTmN
1.0
-0.155 3.323 -1.009
-6.152 -0.167 0.395
2.292 1.720 5.313
Tm N Y
2 2 2
direct
0.250 0.774 0.508 Tm
0.750 0.226 0.492 Tm
0.750 0.996 0.738 N
0.250 0.004 0.262 N
0.750 0.769 0.005 Y
0.250 0.231 0.995 Y
```

Values from the calculation:
Formation energy without anion corrections ... -1.11 eV/atom
ΔE to the lowest computed polymorph ... 0.0114 eV per atom
Crystal system ... monoclinic
Symmetry ... P2_1/m


4.
Material: YTm5N6
Method: DFT, PBE
State: optimized geometry

```
YTm5N6
1.0
-2.487 -4.294 -3.220
4.147 -3.884 -1.646
1.229 -4.651 3.443
Y Tm N
1 5 6
direct
0.000 0.000 0.000 Y
0.500 0.167 0.666 Tm
0.000 0.333 0.333 Tm
0.500 0.500 0.000 Tm
0.000 0.667 0.667 Tm
0.500 0.833 0.334 Tm
0.748 0.084 0.336 N
0.252 0.580 0.336 N
0.252 0.253 0.000 N
0.748 0.747 0.000 N
0.748 0.420 0.664 N
0.252 0.916 0.664 N
```

Values from the calculation:
Formation energy without anion corrections ... -1.80 eV/atom
Crystal system ... monoclinic
Symmetry ... C2/m